1.
# La2SiSb

A geometry-optimized La2SiSb structure (PBE-GGA, Alexandria).

Values from the calculation:
V ... 111 Å³/cell
E_form (uncorrected) ... -2.90 eV per formula unit
D(E_F) ... 3.17 states/eV per cell
Electronic total energy ... -22.30 eV per cell
Energy above the most stable polymorph in this dataset ... 120 meV/atom

```
La2SiSb
1.0
-3.239 -4.086 0.772
3.761 -2.137 -3.012
1.843 2.079 4.480
Sb La Si
1 2 1
direct
0.750 0.250 0.500 Sb
0.500 0.500 0.000 La
0.000 0.000 0.000 La
0.250 0.750 0.500 Si
```

=====

2.
# LaSi2Sb

A geometry-optimized LaSi2Sb structure (PBE-GGA, Alexandria).

Values from the calculation:
V ... 98 Å³/cell
E_form (uncorrected) ... -1.16 eV per formula unit
D(E_F) ... 1.85 states/eV per cell
Electronic total energy ... -21.06 eV per cell

```
LaSi2Sb
1.0
3.968 0.000 0.000
0.000 4.633 0.014
0.000 1.621 5.357
Si La Sb
2 1 1
direct
0.000 0.155 0.008 Si
0.500 0.024 0.275 Si
0.000 0.468 0.442 La
0.500 0.853 0.775 Sb
```

=====

3.
# La2SiSb

A geometry-optimized La2SiSb structure (PBE-GGA, Alexandria).

Values from the calculation:
V ... 111 Å³/cell
E_form (uncorrected) ... -2.97 eV per formula unit
D(E_F) ... 3.85 states/eV per cell
Electronic total energy ... -22.37 eV per cell
Energy above the most stable polymorph in this dataset ... 102 meV/atom

```
La2SiSb
1.0
3.361 0.000 0.000
0.000 4.030 0.010
0.000 4.002 8.201
La Si Sb
2 1 1
direct
0.000 0.481 0.521 La
0.000 0.019 0.979 La
0.500 0.750 0.750 Si
0.500 0.250 0.250 Sb
```

=====

D(E_F) of number 1 (La2SiSb)?
3.17 states/eV per cell

=====

electronic total energy of number 1 (La2SiSb)?
-22.30 eV per cell